# 1
Computed, not measured: an optimized crystal structure of TlSnAuSe3 at the PBE level of DFT.

The structure in CIF format:
```
data_TlSnAuSe3
_cell_length_a 8.667
_cell_length_b 3.969
_cell_length_c 10.012
_cell_angle_alpha 90.00
_cell_angle_beta 99.57
_cell_angle_gamma 90.00
_symmetry_space_group_name_H-M 'P 1 21/m 1'
_symmetry_Int_Tables_number 11
loop_
_symmetry_equiv_pos_as_xyz
'x,y,z'
'-x,-y,-z'
'-x,y+1/2,-z'
'x,-y+1/2,z'
loop_
_atom_site_label
_atom_site_fract_x
_atom_site_fract_y
_atom_site_fract_z
Tl1 0.160 0.250 0.233
Sn1 0.334 0.750 0.870
Au1 0.105 0.250 0.539
Se1 0.129 0.250 0.908
Se2 0.287 0.750 0.594
Se3 0.441 0.750 0.148
```

Properties
Final energy in eV/atom: -3.63

***

# 2
Computed, not measured: an optimized crystal structure of USnAuSe at the PBE level of DFT.

The structure in CIF format:
```
data_USnAuSe
_cell_length_a 4.660
_cell_length_b 4.660
_cell_length_c 8.549
_cell_angle_alpha 90.00
_cell_angle_beta 90.00
_cell_angle_gamma 90.00
_symmetry_space_group_name_H-M 'P 4/n m m'
_symmetry_Int_Tables_number 129
loop_
_symmetry_equiv_pos_as_xyz
'x,y,z'
'-x,-y,-z'
'-y+1/2,x,z'
'y+1/2,-x,-z'
'-x+1/2,-y+1/2,z'
'x+1/2,y+1/2,-z'
'y,-x+1/2,z'
'-y,x+1/2,-z'
'x+1/2,-y,-z'
'-x+1/2,y,z'
'-y,-x,-z'
'y,x,z'
'-x,y+1/2,-z'
'x,-y+1/2,z'
'y+1/2,x+1/2,-z'
'-y+1/2,-x+1/2,z'
loop_
_atom_site_label
_atom_site_fract_x
_atom_site_fract_y
_atom_site_fract_z
U1 0.250 0.250 0.204
Sn1 0.250 0.250 0.685
Au1 0.250 0.750 0.500
Se1 0.250 0.750 0.000
```

Properties
Final energy in eV/atom: -5.96

***

# 3
Computed, not measured: an optimized crystal structure of U2SnAu2Se2 at the PBE level of DFT.

The structure in CIF format:
```
data_U2SnAu2Se2
_cell_length_a 3.8188
_cell_length_b 3.8188
_cell_length_c 16.4699
_cell_angle_alpha 90.00
_cell_angle_beta 90.00
_cell_angle_gamma 120.00
_symmetry_space_group_name_H-M 'P -3 m 1'
_symmetry_Int_Tables_number 164
_symmetry_space_group_name_Hall '-P 3 2"'
loop_
_atom_site_label
_atom_site_fract_x
_atom_site_fract_y
_atom_site_fract_z
U1 0.3333 0.6667 0.2097
Sn1 0.0000 0.0000 0.5000
Au1 0.0000 0.0000 0.3330
Se1 0.3333 0.6667 0.8944
```

Properties
Final energy in eV/atom: -5.99

***

# 4
Computed, not measured: an optimized crystal structure of YSn2AuSe at the PBE level of DFT.

The structure in CIF format:
```
data_YSn2AuSe
_cell_length_a 5.961
_cell_length_b 5.961
_cell_length_c 5.226
_cell_angle_alpha 90.00
_cell_angle_beta 90.00
_cell_angle_gamma 90.00
_symmetry_space_group_name_H-M 'P 4/m m m'
_symmetry_Int_Tables_number 123
_symmetry_space_group_name_Hall '-P 4 2'
loop_
_atom_site_label
_atom_site_fract_x
_atom_site_fract_y
_atom_site_fract_z
Y1 0.000 0.000 0.000
Sn1 0.000 0.500 0.000
Au1 0.500 0.500 0.500
Se1 0.000 0.000 0.500
```

Properties
Final energy in eV/atom: -3.91

***

# 5
Computed, not measured: an optimized crystal structure of YSnAuSe at the PBE level of DFT.

The structure in CIF format:
```
data_YSnAuSe
_cell_length_a 4.6228
_cell_length_b 4.6228
_cell_length_c 34.3698
_cell_angle_alpha 90.00
_cell_angle_beta 90.00
_cell_angle_gamma 120.00
_symmetry_space_group_name_H-M 'R -3 m'
_symmetry_Int_Tables_number 166
_symmetry_space_group_name_Hall '-R 3 2"'
loop_
_atom_site_label
_atom_site_fract_x
_atom_site_fract_y
_atom_site_fract_z
Y1 0.0000 0.0000 0.1087
Sn1 0.0000 0.0000 0.2980
Au1 0.0000 0.0000 0.3846
Se1 0.0000 0.0000 0.1977
```

Properties
Final energy in eV/atom: -5.23

***

# 6
Computed, not measured: an optimized crystal structure of SrAuSe3 at the PBE level of DFT.

The structure in CIF format:
```
data_SrAuSe3
_cell_length_a 5.164
_cell_length_b 5.164
_cell_length_c 5.164
_cell_angle_alpha 90.00
_cell_angle_beta 90.00
_cell_angle_gamma 90.00
_symmetry_space_group_name_H-M 'P m -3 m'
_symmetry_Int_Tables_number 221
_symmetry_space_group_name_Hall '-P 4 2 3'
loop_
_atom_site_label
_atom_site_fract_x
_atom_site_fract_y
_atom_site_fract_z
Sr1 0.000 0.000 0.000
Au1 0.500 0.500 0.500
Se1 0.000 0.500 0.500
```

Properties
Final energy in eV/atom: -3.59
Energy relative to the lowest polymorph listed for this composition in meV/atom: 0

***

no.,uncorrected formation energy (kJ/mol of atoms)
1,-27
2,-44
3,-25
4,32
5,-89
6,-49